1.
{
  "formula": "La3Pm12Ho",
  "functional": "GGA-PBE",
  "state": "optimized geometry",
  "lattice": [[5.179, 0.000, 0.000], [0.000, 5.179, 0.000], [0.000, 0.000, 20.705]],
  "species": ["La", "La", "La", "Pm", "Pm", "Pm", "Pm", "Pm", "Pm", "Pm", "Pm", "Pm", "Pm", "Pm", "Pm", "Ho"],
  "fractional_positions": [[0.000, 0.000, 0.000], [0.000, 0.000, 0.251], [0.000, 0.000, 0.749], [0.000, 0.500, 0.126], [0.000, 0.500, 0.378], [0.000, 0.500, 0.622], [0.000, 0.500, 0.874], [0.500, 0.000, 0.126], [0.500, 0.000, 0.378], [0.500, 0.000, 0.622], [0.500, 0.000, 0.874], [0.500, 0.500, 0.000], [0.500, 0.500, 0.252], [0.500, 0.500, 0.500], [0.500, 0.500, 0.748], [0.000, 0.000, 0.500]],
  "dos_ef_per_ev_atom": 1.64,
  "spacegroup": "No. 123",
  "final_energy_ev_per_fu": -76.1,
  "mass_density_g_cm3": 6.94
}

2.
{
  "formula": "GaW2Au",
  "functional": "GGA-PBE",
  "state": "optimized geometry",
  "lattice": [[7.200, 0.000, 0.000], [0.000, 7.200, 0.000], [0.000, 0.000, 5.405]],
  "species": ["Ga", "Ga", "Ga", "Ga", "W", "W", "W", "W", "W", "W", "W", "W", "Au", "Au", "Au", "Au"],
  "fractional_positions": [[0.000, 0.000, 0.000], [0.000, 0.500, 0.250], [0.500, 0.000, 0.750], [0.500, 0.500, 0.500], [0.236, 0.250, 0.125], [0.250, 0.736, 0.375], [0.250, 0.764, 0.875], [0.264, 0.250, 0.625], [0.736, 0.750, 0.625], [0.750, 0.236, 0.875], [0.750, 0.264, 0.375], [0.764, 0.750, 0.125], [0.000, 0.000, 0.500], [0.000, 0.500, 0.750], [0.500, 0.000, 0.250], [0.500, 0.500, 0.000]],
  "dos_ef_per_ev_atom": 0.72,
  "spacegroup": "No. 122",
  "final_energy_ev_per_fu": -28.8,
  "mass_density_g_cm3": 15.04
}

3.
{
  "formula": "LaCoWS2",
  "functional": "GGA-PBE",
  "state": "optimized geometry",
  "lattice": [[4.560, 0.000, 0.000], [0.000, 4.560, 0.000], [0.000, 0.000, 4.670]],
  "species": ["La", "Co", "W", "S", "S"],
  "fractional_positions": [[0.000, 0.000, 0.000], [0.000, 0.000, 0.500], [0.500, 0.500, 0.000], [0.000, 0.500, 0.500], [0.500, 0.000, 0.500]],
  "dos_ef_per_ev_atom": 0.78,
  "spacegroup": "No. 123",
  "final_energy_ev_per_fu": -30.2,
  "formation_energy_uncorrected_kj_per_mol_atoms": 58,
  "mass_density_g_cm3": 7.62
}

4.
{
  "formula": "LaTmIn",
  "functional": "GGA-PBE",
  "state": "optimized geometry",
  "lattice": [[5.308, 0.000, 0.000], [-2.654, 4.597, 0.000], [0.000, 0.000, 3.802]],
  "species": ["La", "Tm", "In"],
  "fractional_positions": [[0.000, 0.000, 0.000], [0.333, 0.667, 0.465], [0.667, 0.333, 0.563]],
  "dos_ef_per_ev_atom": 0.63,
  "spacegroup": "No. 156",
  "final_energy_ev_per_fu": -12.9,
  "mass_density_g_cm3": 7.57
}